No. 1
# ReRh3 | the Alexandria database | PBE | optimized geometry
# Total energy in eV/atom: -8.655
# Energy of formation in meV/atom: -29
data_ReRh3
_chemical_formula_sum 'Re4 Rh12'
_space_group_name_H-M_alt 'P 1'
_space_group_IT_number 1
_space_group_name_Hall 'P 1'
_cell_length_a 5.458
_cell_length_b 5.458
_cell_length_c 8.854
_cell_angle_alpha 90.00
_cell_angle_beta 90.00
_cell_angle_gamma 120.00
loop_
_atom_site_label
_atom_site_fract_x
_atom_site_fract_y
_atom_site_fract_z
_atom_site_occupancy
Re1 0.000 0.000 0.000 1
Re2 0.000 0.000 0.500 1
Re3 0.333 0.667 0.250 1
Re4 0.667 0.333 0.750 1
Rh1 0.000 0.500 0.000 1
Rh2 0.000 0.500 0.500 1
Rh3 0.167 0.334 0.750 1
Rh4 0.167 0.833 0.750 1
Rh5 0.334 0.167 0.250 1
Rh6 0.500 0.000 0.000 1
Rh7 0.500 0.000 0.500 1
Rh8 0.500 0.500 0.000 1
Rh9 0.500 0.500 0.500 1
Rh10 0.666 0.833 0.750 1
Rh11 0.833 0.167 0.250 1
Rh12 0.833 0.666 0.250 1



No. 2
# Re3Rh | the Alexandria database | PBE | optimized geometry
# Total energy in eV/atom: -11.202
# Energy of formation in meV/atom: -28
data_Re3Rh
_chemical_formula_sum 'Re6 Rh2'
_space_group_name_H-M_alt 'P 1'
_space_group_IT_number 1
_space_group_name_Hall 'P 1'
_cell_length_a 6.736
_cell_length_b 6.165
_cell_length_c 4.759
_cell_angle_alpha 74.90
_cell_angle_beta 62.09
_cell_angle_gamma 43.00
loop_
_atom_site_label
_atom_site_fract_x
_atom_site_fract_y
_atom_site_fract_z
_atom_site_occupancy
Re1 0.000 0.000 0.500 1
Re2 0.128 0.128 0.872 1
Re3 0.250 0.250 0.250 1
Re4 0.500 0.500 0.000 1
Re5 0.750 0.750 0.750 1
Re6 0.872 0.872 0.128 1
Rh1 0.375 0.375 0.625 1
Rh2 0.625 0.625 0.375 1



No. 3
# ReRh2 | the Alexandria database | PBE | optimized geometry
# Total energy in eV/atom: -8.228
# Energy of formation in meV/atom: 822
data_ReRh2
_chemical_formula_sum 'Re4 Rh8'
_space_group_name_H-M_alt 'P 1'
_space_group_IT_number 1
_space_group_name_Hall 'P 1'
_cell_length_a 5.958
_cell_length_b 5.958
_cell_length_c 5.958
_cell_angle_alpha 90.00
_cell_angle_beta 90.00
_cell_angle_gamma 90.00
loop_
_atom_site_label
_atom_site_fract_x
_atom_site_fract_y
_atom_site_fract_z
_atom_site_occupancy
Re1 0.000 0.000 0.000 1
Re2 0.000 0.500 0.500 1
Re3 0.500 0.000 0.500 1
Re4 0.500 0.500 0.000 1
Rh1 0.123 0.623 0.877 1
Rh2 0.123 0.877 0.377 1
Rh3 0.377 0.123 0.877 1
Rh4 0.377 0.377 0.377 1
Rh5 0.623 0.623 0.623 1
Rh6 0.623 0.877 0.123 1
Rh7 0.877 0.123 0.623 1
Rh8 0.877 0.377 0.123 1



No. 4
# Re3Rh5 | the Alexandria database | PBE | optimized geometry
# Total energy in eV/atom: -9.326
# Energy of formation in meV/atom: -63
data_Re3Rh5
_chemical_formula_sum 'Re3 Rh5'
_space_group_name_H-M_alt 'P 1'
_space_group_IT_number 1
_space_group_name_Hall 'P 1'
_cell_length_a 4.730
_cell_length_b 4.730
_cell_length_c 7.729
_cell_angle_alpha 114.27
_cell_angle_beta 114.27
_cell_angle_gamma 48.48
loop_
_atom_site_label
_atom_site_fract_x
_atom_site_fract_y
_atom_site_fract_z
_atom_site_occupancy
Re1 0.000 0.000 0.000 1
Re2 0.240 0.240 0.369 1
Re3 0.502 0.502 0.253 1
Rh1 0.255 0.255 0.882 1
Rh2 0.495 0.495 0.751 1
Rh3 0.749 0.749 0.123 1
Rh4 0.750 0.750 0.623 1
Rh5 0.998 0.998 0.494 1



No. 5
# Re4Rh | the Alexandria database | PBE | optimized geometry
# Total energy in eV/atom: -9.634
# Energy of formation in meV/atom: 1795
data_Re4Rh
_chemical_formula_sum 'Re4 Rh1'
_space_group_name_H-M_alt 'P 1'
_space_group_IT_number 1
_space_group_name_Hall 'P 1'
_cell_length_a 4.933
_cell_length_b 4.933
_cell_length_c 4.933
_cell_angle_alpha 109.47
_cell_angle_beta 109.47
_cell_angle_gamma 109.47
loop_
_atom_site_label
_atom_site_fract_x
_atom_site_fract_y
_atom_site_fract_z
_atom_site_occupancy
Re1 0.000 0.000 0.500 1
Re2 0.000 0.500 0.000 1
Re3 0.500 0.000 0.000 1
Re4 0.500 0.500 0.500 1
Rh1 0.000 0.000 0.000 1



No. 6
# Re3Rh | the Alexandria database | PBE | optimized geometry
# Total energy in eV/atom: -11.191
# Energy of formation in meV/atom: -17
data_Re3Rh
_chemical_formula_sum 'Re6 Rh2'
_space_group_name_H-M_alt 'P 1'
_space_group_IT_number 1
_space_group_name_Hall 'P 1'
_cell_length_a 4.766
_cell_length_b 4.771
_cell_length_c 5.528
_cell_angle_alpha 107.12
_cell_angle_beta 90.12
_cell_angle_gamma 99.81
loop_
_atom_site_label
_atom_site_fract_x
_atom_site_fract_y
_atom_site_fract_z
_atom_site_occupancy
Re1 0.127 0.253 0.439 1
Re2 0.131 0.251 0.936 1
Re3 0.370 0.745 0.810 1
Re4 0.630 0.255 0.190 1
Re5 0.869 0.749 0.064 1
Re6 0.873 0.747 0.561 1
Rh1 0.373 0.747 0.308 1
Rh2 0.627 0.253 0.692 1



No. 7
# Re3Rh | the Alexandria database | PBE | optimized geometry
# Total energy in eV/atom: -11.194
# Energy of formation in meV/atom: -20
data_Re3Rh
_chemical_formula_sum 'Re3 Rh1'
_space_group_name_H-M_alt 'P 1'
_space_group_IT_number 1
_space_group_name_Hall 'P 1'
_cell_length_a 9.126
_cell_length_b 9.126
_cell_length_c 9.126
_cell_angle_alpha 17.38
_cell_angle_beta 17.38
_cell_angle_gamma 17.38
loop_
_atom_site_label
_atom_site_fract_x
_atom_site_fract_y
_atom_site_fract_z
_atom_site_occupancy
Re1 0.000 0.000 0.000 1
Re2 0.250 0.250 0.250 1
Re3 0.750 0.750 0.750 1
Rh1 0.500 0.500 0.500 1



No. 8
# ReRh2 | the Alexandria database | PBE | optimized geometry
# Total energy in eV/atom: -9.123
# Energy of formation in meV/atom: -73
data_ReRh2
_chemical_formula_sum 'Re3 Rh6'
_space_group_name_H-M_alt 'P 1'
_space_group_IT_number 1
_space_group_name_Hall 'P 1'
_cell_length_a 7.432
_cell_length_b 7.432
_cell_length_c 2.730
_cell_angle_alpha 90.00
_cell_angle_beta 90.00
_cell_angle_gamma 120.00
loop_
_atom_site_label
_atom_site_fract_x
_atom_site_fract_y
_atom_site_fract_z
_atom_site_occupancy
Re1 0.000 0.000 0.000 1
Re2 0.333 0.667 0.500 1
Re3 0.667 0.333 0.500 1
Rh1 0.000 0.302 0.500 1
Rh2 0.000 0.639 0.000 1
Rh3 0.302 0.000 0.500 1
Rh4 0.361 0.361 0.000 1
Rh5 0.639 0.000 0.000 1
Rh6 0.698 0.698 0.500 1



No. 9
# ReRh5 | the Alexandria database | PBE | optimized geometry
# Total energy in eV/atom: -8.045
# Energy of formation in meV/atom: 156
data_ReRh5
_chemical_formula_sum 'Re1 Rh5'
_space_group_name_H-M_alt 'P 1'
_space_group_IT_number 1
_space_group_name_Hall 'P 1'
_cell_length_a 4.341
_cell_length_b 4.341
_cell_length_c 5.328
_cell_angle_alpha 90.00
_cell_angle_beta 90.00
_cell_angle_gamma 120.00
loop_
_atom_site_label
_atom_site_fract_x
_atom_site_fract_y
_atom_site_fract_z
_atom_site_occupancy
Re1 0.000 0.000 0.000 1
Rh1 0.000 0.000 0.500 1
Rh2 0.333 0.667 0.252 1
Rh3 0.333 0.667 0.748 1
Rh4 0.667 0.333 0.252 1
Rh5 0.667 0.333 0.748 1



No. 10
# Re5Rh3 | the Alexandria database | PBE | optimized geometry
# Total energy in eV/atom: -10.641
# Energy of formation in meV/atom: -104
data_Re5Rh3
_chemical_formula_sum 'Re10 Rh6'
_space_group_name_H-M_alt 'P 1'
_space_group_IT_number 1
_space_group_name_Hall 'P 1'
_cell_length_a 7.076
_cell_length_b 7.076
_cell_length_c 5.198
_cell_angle_alpha 108.69
_cell_angle_beta 108.69
_cell_angle_gamma 85.23
loop_
_atom_site_label
_atom_site_fract_x
_atom_site_fract_y
_atom_site_fract_z
_atom_site_occupancy
Re1 0.044 0.956 0.750 1
Re2 0.166 0.582 0.498 1
Re3 0.204 0.289 0.746 1
Re4 0.289 0.204 0.246 1
Re5 0.418 0.834 0.002 1
Re6 0.582 0.166 0.998 1
Re7 0.711 0.796 0.754 1
Re8 0.796 0.711 0.254 1
Re9 0.834 0.418 0.502 1
Re10 0.956 0.044 0.250 1
Rh1 0.084 0.665 0.000 1
Rh2 0.335 0.916 0.500 1
Rh3 0.459 0.541 0.250 1
Rh4 0.541 0.459 0.750 1
Rh5 0.665 0.084 0.500 1
Rh6 0.916 0.335 0.000 1



No. 11
# ReRh2 | the Alexandria database | PBE | optimized geometry
# Total energy in eV/atom: -8.637
# Energy of formation in meV/atom: 414
data_ReRh2
_chemical_formula_sum 'Re4 Rh8'
_space_group_name_H-M_alt 'P 1'
_space_group_IT_number 1
_space_group_name_Hall 'P 1'
_cell_length_a 5.040
_cell_length_b 5.040
_cell_length_c 8.116
_cell_angle_alpha 90.00
_cell_angle_beta 90.00
_cell_angle_gamma 120.00
loop_
_atom_site_label
_atom_site_fract_x
_atom_site_fract_y
_atom_site_fract_z
_atom_site_occupancy
Re1 0.333 0.667 0.082 1
Re2 0.333 0.667 0.418 1
Re3 0.667 0.333 0.582 1
Re4 0.667 0.333 0.918 1
Rh1 0.000 0.000 0.000 1
Rh2 0.000 0.000 0.500 1
Rh3 0.170 0.341 0.750 1
Rh4 0.170 0.830 0.750 1
Rh5 0.341 0.170 0.250 1
Rh6 0.659 0.830 0.750 1
Rh7 0.830 0.170 0.250 1
Rh8 0.830 0.659 0.250 1



No. 12
# ReRh3 | the Alexandria database | PBE | optimized geometry
# Total energy in eV/atom: -8.736
# Energy of formation in meV/atom: -111
data_ReRh3
_chemical_formula_sum 'Re2 Rh6'
_space_group_name_H-M_alt 'P 1'
_space_group_IT_number 1
_space_group_name_Hall 'P 1'
_cell_length_a 4.359
_cell_length_b 5.482
_cell_length_c 4.772
_cell_angle_alpha 90.00
_cell_angle_beta 90.00
_cell_angle_gamma 90.00
loop_
_atom_site_label
_atom_site_fract_x
_atom_site_fract_y
_atom_site_fract_z
_atom_site_occupancy
Re1 0.250 0.250 0.171 1
Re2 0.750 0.750 0.829 1
Rh1 0.250 0.000 0.668 1
Rh2 0.250 0.500 0.668 1
Rh3 0.250 0.750 0.158 1
Rh4 0.750 0.000 0.332 1
Rh5 0.750 0.250 0.842 1
Rh6 0.750 0.500 0.332 1